No. 1
# ZrZn2Ni

ZrZn2Ni after structural relaxation (GGA-PBE, Alexandria).

```
data_ZrZn2Ni
_symmetry_space_group_name_H-M 'P 1'
_symmetry_Int_Tables_number 1
_cell_length_a 3.0183
_cell_length_b 3.1010
_cell_length_c 6.5658
_cell_angle_alpha 90.00
_cell_angle_beta 90.00
_cell_angle_gamma 90.00
loop_
_symmetry_equiv_pos_as_xyz
'x,y,z'
loop_
_atom_site_label
_atom_site_type_symbol
_atom_site_fract_x
_atom_site_fract_y
_atom_site_fract_z
Zr1 Zr 0.0000 0.0000 0.0000
Zn1 Zn 0.5000 0.5000 0.2987
Zn2 Zn 0.5000 0.5000 0.7013
Ni1 Ni 0.0000 0.0000 0.5000
```

Values from the calculation:
Theoretical density, g/cm³: 7.6

---

No. 2
# ZrZnNi2

ZrZnNi2 after structural relaxation (GGA-PBE, Alexandria).

```
data_ZrZnNi2
_symmetry_space_group_name_H-M 'P 1'
_symmetry_Int_Tables_number 1
_cell_length_a 2.8093
_cell_length_b 3.5281
_cell_length_c 5.8582
_cell_angle_alpha 90.00
_cell_angle_beta 90.00
_cell_angle_gamma 90.00
loop_
_symmetry_equiv_pos_as_xyz
'x,y,z'
loop_
_atom_site_label
_atom_site_type_symbol
_atom_site_fract_x
_atom_site_fract_y
_atom_site_fract_z
Zr1 Zr 0.0000 0.0000 0.0000
Zn1 Zn 0.5000 0.5000 0.6755
Ni1 Ni 0.0000 0.0000 0.4822
Ni2 Ni 0.5000 0.5000 0.2576
```

Values from the calculation:
Theoretical density, g/cm³: 7.8

---

No. 3
# ZrZn4Ni15

ZrZn4Ni15 after structural relaxation (GGA-PBE, Alexandria).

```
data_ZrZn4Ni15
_symmetry_space_group_name_H-M 'P 1'
_symmetry_Int_Tables_number 1
_cell_length_a 3.6410
_cell_length_b 3.6410
_cell_length_c 17.8356
_cell_angle_alpha 90.00
_cell_angle_beta 90.00
_cell_angle_gamma 90.00
loop_
_symmetry_equiv_pos_as_xyz
'x,y,z'
loop_
_atom_site_label
_atom_site_type_symbol
_atom_site_fract_x
_atom_site_fract_y
_atom_site_fract_z
Zr1 Zr 0.0000 0.0000 0.0000
Zn1 Zn 0.0000 0.0000 0.2071
Zn2 Zn 0.0000 0.0000 0.4021
Zn3 Zn 0.0000 0.0000 0.5979
Zn4 Zn 0.0000 0.0000 0.7929
Ni1 Ni 0.0000 0.5000 0.1087
Ni2 Ni 0.0000 0.5000 0.3043
Ni3 Ni 0.0000 0.5000 0.5000
Ni4 Ni 0.0000 0.5000 0.6957
Ni5 Ni 0.0000 0.5000 0.8913
Ni6 Ni 0.5000 0.0000 0.1087
Ni7 Ni 0.5000 0.0000 0.3043
Ni8 Ni 0.5000 0.0000 0.5000
Ni9 Ni 0.5000 0.0000 0.6957
Ni10 Ni 0.5000 0.0000 0.8913
Ni11 Ni 0.5000 0.5000 0.0000
Ni12 Ni 0.5000 0.5000 0.2059
Ni13 Ni 0.5000 0.5000 0.4026
Ni14 Ni 0.5000 0.5000 0.5974
Ni15 Ni 0.5000 0.5000 0.7941
```

Values from the calculation:
Theoretical density, g/cm³: 8.7

---

Number 1: DOS at the Fermi energy 3.28 states/eV/f.u., ΔE_f -21.7 kJ/mol of atoms, E -17.776 eV per cell. Number 2: DOS at the Fermi energy 3.46 states/eV/f.u., ΔE_f -18.8 kJ/mol of atoms, E -22.166 eV per cell. Number 3: DOS at the Fermi energy 21.95 states/eV/f.u., ΔE_f -16.4 kJ/mol of atoms, E -103.755 eV per cell.